Entry 1:
# MnRu2Pt

Crystalline MnRu2Pt at its relaxed geometry (GGA-PBE, Alexandria).

Unit cell a=4.6915 b=4.6915 c=4.6915 alpha=131.91 beta=131.91 gamma=70.37
Fractional coordinates of all 4 atoms:
1 Mn 0.5000 0.5000 0.0000
2 Pt 0.2500 0.7500 0.5000
3 Ru 0.0000 0.0000 0.0000
4 Ru 0.7499 0.2499 0.5000

Calculated values
Crystal system: tetragonal
V (Å³/atom): 14.011
Space group: I-4m2, No. 119
VASP energy (eV/atom): -8.49
Energy of formation (meV per atom): -54

=====

Entry 2:
# Mn2PI

Crystalline Mn2PI at its relaxed geometry (GGA-PBE, Alexandria).

Unit cell a=5.1757 b=5.1757 c=6.8259 alpha=67.72 beta=67.72 gamma=90.00
Fractional coordinates of all 8 atoms:
1 I 0.0000 0.0000 0.0000
2 I 0.7500 0.2500 0.5000
3 P 0.5000 0.5000 0.0000
4 P 0.2500 0.7500 0.5000
5 Mn 0.5661 0.1250 0.2500
6 Mn 0.1839 0.6250 0.2500
7 Mn 0.3750 0.4339 0.7500
8 Mn 0.8750 0.8161 0.7500

Calculated values
Crystal system: tetragonal
Formation energy without anion corrections (eV/atom): 0.511
V (Å³/atom): 19.293
Space group: I-42d, No. 122
VASP energy (eV/atom): -5.81
Distance to the lowest polymorph of the same formula (eV per atom): 0.000

=====

Entry 3:
# As2Au2Cl

Crystalline As2Au2Cl at its relaxed geometry (GGA-PBE, Alexandria).

Unit cell a=4.7766 b=4.7766 c=6.0258 alpha=66.65 beta=66.65 gamma=90.00
Fractional coordinates of all 5 atoms:
1 As 0.7500 0.2500 0.5000
2 As 0.2500 0.7500 0.5000
3 Au 0.3520 0.3520 0.2959
4 Au 0.6480 0.6480 0.7041
5 Cl 0.0000 0.0000 0.0000

Calculated values
Crystal system: tetragonal
Formation energy without anion corrections (eV/atom): 0.193
V (Å³/atom): 22.772
Space group: I4/mmm, No. 139
VASP energy (eV/atom): -3.35

=====

Entry 4:
# Rb2ReGe2

Crystalline Rb2ReGe2 at its relaxed geometry (GGA-PBE, Alexandria).

Unit cell a=3.5048 b=3.5048 c=12.3439 alpha=81.84 beta=81.84 gamma=90.00
Fractional coordinates of all 5 atoms:
1 Re 0.0000 0.0000 0.0000
2 Ge 0.7500 0.2500 0.5000
3 Ge 0.2500 0.7500 0.5000
4 Rb 0.3902 0.3902 0.2195
5 Rb 0.6098 0.6098 0.7805

Calculated values
Crystal system: tetragonal
V (Å³/atom): 29.708
Space group: I4/mmm, No. 139
VASP energy (eV/atom): -3.44
Energy of formation (meV per atom): 1281
Distance to the lowest polymorph of the same formula (eV per atom): 0.000

=====

Entry 5:
# Dy5TlHg

Crystalline Dy5TlHg at its relaxed geometry (GGA-PBE, Alexandria).

Unit cell a=6.1960 b=6.1960 c=10.9278 alpha=94.39 beta=94.39 gamma=92.27
Fractional coordinates of all 14 atoms:
1 Dy 0.0323 0.5979 0.1572
2 Dy 0.2419 0.4627 0.4781
3 Dy 0.5979 0.0323 0.6572
4 Dy 0.8733 0.1267 0.2500
5 Dy 0.5373 0.7581 0.0219
6 Dy 0.4627 0.2419 0.9781
7 Dy 0.1267 0.8733 0.7500
8 Dy 0.4021 0.9677 0.3428
9 Dy 0.7581 0.5373 0.5219
10 Dy 0.9677 0.4021 0.8428
11 Tl 0.5211 0.4789 0.2500
12 Tl 0.4789 0.5211 0.7500
13 Hg 0.0000 0.0000 0.0000
14 Hg 0.0000 0.0000 0.5000

Calculated values
Crystal system: monoclinic
V (Å³/atom): 29.760
Space group: C2/c, No. 15
VASP energy (eV/atom): -3.75
Energy of formation (meV per atom): -84

=====

Entry 6:
# Sm2Te3Cl

Crystalline Sm2Te3Cl at its relaxed geometry (GGA-PBE, Alexandria).

Unit cell a=8.0478 b=8.0478 c=8.0478 alpha=64.41 beta=64.41 gamma=64.41
Fractional coordinates of all 12 atoms:
1 Sm 0.3601 0.3601 0.3601
2 Sm 0.1399 0.1399 0.1399
3 Sm 0.8601 0.8601 0.8601
4 Sm 0.6399 0.6399 0.6399
5 Te 0.4707 0.0293 0.7500
6 Te 0.0293 0.7500 0.4707
7 Te 0.7500 0.4707 0.0293
8 Te 0.5293 0.9707 0.2500
9 Te 0.9707 0.2500 0.5293
10 Te 0.2500 0.5293 0.9707
11 Cl 0.5000 0.5000 0.5000
12 Cl 0.0000 0.0000 0.0000

Calculated values
Crystal system: trigonal
Formation energy without anion corrections (eV/atom): -1.274
V (Å³/atom): 33.683
Space group: R-3c, No. 167
VASP energy (eV/atom): -4.73

=====

Entry 7:
# Ga2Ni4N

Crystalline Ga2Ni4N at its relaxed geometry (GGA-PBE, Alexandria).

Unit cell a=3.7047 b=3.7047 c=6.7538 alpha=74.08 beta=74.08 gamma=90.00
Fractional coordinates of all 7 atoms:
1 Ni 0.8468 0.8468 0.3065
2 Ni 0.1532 0.1532 0.6935
3 Ni 0.0000 0.5000 0.0000
4 Ni 0.5000 0.0000 0.0000
5 Ga 0.6554 0.6554 0.6891
6 Ga 0.3446 0.3446 0.3109
7 N 0.0000 0.0000 0.0000

Calculated values
Crystal system: tetragonal
Formation energy without anion corrections (eV/atom): -0.067
V (Å³/atom): 12.205
Space group: I4/mmm, No. 139
VASP energy (eV/atom): -5.42

=====

Entry 8:
# LiI3Cl

Crystalline LiI3Cl at its relaxed geometry (GGA-PBE, Alexandria).

Unit cell a=5.8301 b=5.8301 c=5.8301 alpha=90.00 beta=90.00 gamma=90.00
Fractional coordinates of all 5 atoms:
1 I 0.0000 0.5000 0.0000
2 I 0.0000 0.0000 0.5000
3 I 0.5000 0.0000 0.0000
4 Li 0.5000 0.5000 0.5000
5 Cl 0.0000 0.0000 0.0000

Calculated values
Crystal system: cubic
Formation energy without anion corrections (eV/atom): -0.034
V (Å³/atom): 39.633
Space group: Pm-3m, No. 221
VASP energy (eV/atom): -1.72
Distance to the lowest polymorph of the same formula (eV per atom): 0.000

=====

Entry 9:
# K3U2CuS6

Crystalline K3U2CuS6 at its relaxed geometry (GGA-PBE, Alexandria).

Unit cell a=7.0758 b=7.0758 c=7.6309 alpha=97.68 beta=97.68 gamma=123.28
Fractional coordinates of all 12 atoms:
1 K 0.1562 0.8438 0.5000
2 K 0.8438 0.1562 0.5000
3 K 0.5000 0.5000 0.5000
4 U 0.3350 0.6650 0.0000
5 U 0.6650 0.3350 0.0000
6 Cu 0.0000 0.0000 0.0000
7 S 0.9373 0.5732 0.7903
8 S 0.7526 0.7526 0.1759
9 S 0.0627 0.4268 0.2097
10 S 0.5732 0.9373 0.7903
11 S 0.2474 0.2474 0.8241
12 S 0.4268 0.0627 0.2097

Calculated values
Crystal system: monoclinic
Formation energy without anion corrections (eV/atom): -1.190
V (Å³/atom): 25.543
Space group: C2/m, No. 12
VASP energy (eV/atom): -5.75

=====

Entry 10:
# Sm2BrCl

Crystalline Sm2BrCl at its relaxed geometry (GGA-PBE, Alexandria).

Unit cell a=3.6070 b=3.6070 c=9.3021 alpha=78.82 beta=78.82 gamma=60.00
Fractional coordinates of all 4 atoms:
1 Sm 0.0870 0.0870 0.7389
2 Sm 0.2462 0.2462 0.2615
3 Br 0.6667 0.6667 0.0000
4 Cl 0.5001 0.5001 0.4996

Calculated values
Crystal system: trigonal
Formation energy without anion corrections (eV/atom): -1.206
V (Å³/atom): 25.538
Space group: R3m, No. 160
VASP energy (eV/atom): -4.45
Distance to the lowest polymorph of the same formula (eV per atom): 0.000

=====

Entry 11:
# Pr3SmPd12

Crystalline Pr3SmPd12 at its relaxed geometry (GGA-PBE, Alexandria).

Unit cell a=4.2016 b=4.2016 c=16.9068 alpha=90.00 beta=90.00 gamma=90.00
Fractional coordinates of all 16 atoms:
1 Pr 0.0000 0.0000 0.2483
2 Pr 0.0000 0.0000 0.5000
3 Pr 0.0000 0.0000 0.7517
4 Sm 0.0000 0.0000 0.0000
5 Pd 0.5000 0.5000 0.0000
6 Pd 0.5000 0.5000 0.2489
7 Pd 0.5000 0.5000 0.5000
8 Pd 0.5000 0.5000 0.7511
9 Pd 0.5000 0.0000 0.1226
10 Pd 0.5000 0.0000 0.3744
11 Pd 0.5000 0.0000 0.6256
12 Pd 0.5000 0.0000 0.8774
13 Pd 0.0000 0.5000 0.1226
14 Pd 0.0000 0.5000 0.3744
15 Pd 0.0000 0.5000 0.6256
16 Pd 0.0000 0.5000 0.8774

Calculated values
Crystal system: tetragonal
V (Å³/atom): 18.654
Space group: P4/mmm, No. 123
VASP energy (eV/atom): -5.84
Energy of formation (meV per atom): -757

=====

Entry 12:
# Ga12Hg3Au5

Crystalline Ga12Hg3Au5 at its relaxed geometry (GGA-PBE, Alexandria).

Unit cell a=13.4569 b=13.4569 c=13.4569 alpha=109.47 beta=109.47 gamma=109.47
Fractional coordinates of all 80 atoms:
1 Hg 0.7500 0.3750 0.1250
2 Hg 0.8750 0.7500 0.1250
3 Hg 0.3750 0.7500 0.6250
4 Hg 0.2500 0.1250 0.3750
5 Hg 0.8750 0.1250 0.2500
6 Hg 0.3750 0.6250 0.2500
7 Hg 0.6250 0.3750 0.7500
8 Hg 0.1250 0.8750 0.7500
9 Hg 0.7500 0.8750 0.6250
10 Hg 0.6250 0.2500 0.3750
11 Hg 0.1250 0.2500 0.8750
12 Hg 0.2500 0.6250 0.8750
13 Au 0.1250 0.3750 0.2500
14 Au 0.0000 0.5000 0.0000
15 Au 0.0000 0.0000 0.0000
16 Au 0.3750 0.2500 0.1250
17 Au 0.5000 0.0000 0.5000
18 Au 0.5000 0.5000 0.0000
19 Au 0.1250 0.7500 0.3750
20 Au 0.7500 0.1250 0.8750
21 Au 0.7500 0.6250 0.3750
22 Au 0.3750 0.1250 0.7500
23 Au 0.6250 0.8750 0.2500
24 Au 0.5000 0.5000 0.5000
25 Au 0.5000 0.0000 0.0000
26 Au 0.0000 0.0000 0.5000
27 Au 0.2500 0.3750 0.6250
28 Au 0.2500 0.8750 0.1250
29 Au 0.0000 0.5000 0.5000
30 Au 0.8750 0.2500 0.6250
31 Au 0.6250 0.7500 0.8750
32 Au 0.8750 0.6250 0.7500
33 Ga 0.7254 0.1332 0.0567
34 Ga 0.3313 0.5567 0.4234
35 Ga 0.9433 0.3668 0.2746
36 Ga 0.5567 0.2254 0.1332
37 Ga 0.5922 0.7254 0.6687
38 Ga 0.9433 0.5766 0.1687
39 Ga 0.3313 0.7746 0.4078
40 Ga 0.0766 0.9078 0.1332
41 Ga 0.5766 0.9433 0.6687
42 Ga 0.7254 0.5922 0.1687
43 Ga 0.7746 0.4433 0.3668
44 Ga 0.8313 0.9234 0.0567
45 Ga 0.1332 0.7254 0.5567
46 Ga 0.3668 0.4234 0.0922
47 Ga 0.0922 0.9234 0.3668
48 Ga 0.4078 0.1332 0.5766
49 Ga 0.0922 0.1687 0.2254
50 Ga 0.4433 0.6687 0.0766
51 Ga 0.8313 0.9078 0.2746
52 Ga 0.1332 0.4078 0.0766
53 Ga 0.3668 0.9433 0.7746
54 Ga 0.5766 0.6332 0.4078
55 Ga 0.9234 0.8313 0.5567
56 Ga 0.7746 0.3313 0.9078
57 Ga 0.4234 0.3668 0.5922
58 Ga 0.0766 0.1687 0.4433
59 Ga 0.2254 0.6687 0.0922
60 Ga 0.1687 0.0922 0.7254
61 Ga 0.6332 0.0567 0.2254
62 Ga 0.8668 0.5922 0.9234
63 Ga 0.5567 0.3313 0.9234
64 Ga 0.5922 0.8668 0.4234
65 Ga 0.9078 0.8313 0.7746
66 Ga 0.9078 0.0766 0.6332
67 Ga 0.8668 0.2746 0.4433
68 Ga 0.1687 0.0766 0.9433
69 Ga 0.6332 0.5766 0.9078
70 Ga 0.4234 0.0567 0.3313
71 Ga 0.2746 0.4078 0.8313
72 Ga 0.2254 0.5567 0.6332
73 Ga 0.9234 0.0922 0.8668
74 Ga 0.6687 0.2254 0.5922
75 Ga 0.4433 0.7746 0.8668
76 Ga 0.0567 0.4234 0.8313
77 Ga 0.4078 0.2746 0.3313
78 Ga 0.0567 0.6332 0.7254
79 Ga 0.6687 0.4433 0.5766
80 Ga 0.2746 0.8668 0.9433

Calculated values
Crystal system: cubic
V (Å³/atom): 23.449
Space group: Ia-3d, No. 230
VASP energy (eV/atom): -2.65
Energy of formation (meV per atom): 26

=====

Among the records above, which one has the highest V? LiI3Cl

=====

What is the V in the twelfth record? 23.449 Å³/atom

=====

Which of these has the lowest VASP energy? MnRu2Pt

=====

Which of these has the highest V? LiI3Cl